An optimized crystal structure of Hf3RhC, computed with PBE. Values from VASP.

```
&SYSTEM
  ibrav = 0, nat = 10, ntyp = 3
/
ATOMIC_SPECIES
Hf 178.49 Hf.upf
C 12.01 C.upf
Rh 102.91 Rh.upf
CELL_PARAMETERS angstrom
3.271 0.000 0.000
-1.635 5.861 0.000
0.000 0.000 8.796
ATOMIC_POSITIONS crystal
Hf 0.629 0.257 0.442
Hf 0.056 0.112 0.750
Hf 0.371 0.743 0.558
C 0.000 0.000 0.500
C 0.000 0.000 0.000
Rh 0.254 0.508 0.250
Hf 0.371 0.743 0.942
Hf 0.944 0.888 0.250
Hf 0.629 0.257 0.058
Rh 0.746 0.492 0.750
```

As for the crystal system: orthorhombic. The calculation puts the formation energy at -0.754 eV/atom. For the electronic total energy, the calculation gives -100.41 eV for the cell shown. The symmetry is Cmcm, No. 63.